Hf2TlFe2 | PBE | relaxed

It has space group I4/mmm (No. 139), with a = 3.324 Å, b = 3.324 Å, c = 17.172 Å, α = 90.00°, β = 90.00° and γ = 90.00°. Symmetry generates all atoms from Hf at (0.000, 0.000, 0.127), Tl at (0.000, 0.000, 0.500) and Fe at (0.000, 0.500, 0.250).

For the energy of formation, the calculation gives 0.159 eV per atom.

Hf3TlFe | PBE | relaxed

It has space group P2_1/m (No. 11), with a = 8.038 Å, b = 3.470 Å, c = 8.108 Å, α = 90.00°, β = 114.06° and γ = 90.00°. Symmetry generates all atoms from Hf at (0.073, 0.250, 0.313), Hf at (0.293, 0.250, 0.986), Hf at (0.397, 0.750, 0.334), Tl at (0.290, 0.750, 0.668) and Fe at (0.087, 0.750, 0.071).

The calculation puts the distance to the lowest polymorph of the same formula at 0 kJ/mol of formula units. For the energy of formation, the calculation gives -0.035 eV per atom.